DFT (PBEsol) results for a relaxed BeReMo2 crystal.

Cell and atoms, written as CIF:
```
data_BeReMo2
_chemical_formula_sum 'Be1 Re1 Mo2'
_cell_length_a 2.6632
_cell_length_b 2.6632
_cell_length_c 8.0840
_cell_angle_alpha 90.00
_cell_angle_beta 90.00
_cell_angle_gamma 108.18
_symmetry_space_group_name_H-M 'P 1'
_symmetry_Int_Tables_number 1
loop_
_symmetry_equiv_pos_as_xyz
'x,y,z'
loop_
_atom_site_label
_atom_site_fract_x
_atom_site_fract_y
_atom_site_fract_z
Be1 0.0000 0.0000 0.0000
Re1 0.5000 0.5000 0.2244
Mo1 0.0000 0.0000 0.4950
Mo2 0.5000 0.5000 0.7689
```

Output
Energy of formation from the pure elements in eV per atom: 0.119